1.
DFT (PBE-GGA) results for RbTm2MnSe4 after structural relaxation.

Cell and atoms, written as extended XYZ:
```
16
Lattice="2.060 -7.154 0.000 2.060 7.154 0.000 0.000 0.000 14.370" Properties=species:S:1:pos:R:3 pbc="T T T"
Rb 2.060 5.590 10.777
Rb 2.060 -5.590 3.592
Tm 2.060 1.882 8.071
Tm 2.060 1.882 13.484
Tm 2.060 -1.882 0.886
Tm 2.060 -1.882 6.299
Mn 2.060 4.754 3.592
Mn 2.060 -4.754 10.777
Se 0.000 0.000 0.000
Se 0.000 0.000 7.185
Se 2.060 3.411 1.525
Se 2.060 3.411 5.660
Se 2.060 1.000 10.777
Se 2.060 -1.000 3.592
Se 2.060 -3.411 8.710
Se 2.060 -3.411 12.845
```

Symmetry = Cmcm
ΔE_f (raw) = -1.40 eV/atom
Density of states at the Fermi level = 5.8 states/eV per cell
Density = 6.23 Mg/m³
V = 211.8 Å³/f.u.
Crystal system = orthorhombic


2.
DFT (PBE-GGA) results for AcPm2Pr9 after structural relaxation.

Cell and atoms, written as extended XYZ:
```
12
Lattice="5.265 0.000 0.000 0.000 5.265 0.000 0.000 0.000 15.812" Properties=species:S:1:pos:R:3 pbc="T T T"
Ac 0.000 0.000 0.000
Pm 0.000 0.000 5.305
Pm 0.000 0.000 10.507
Pr 0.000 2.632 2.721
Pr 0.000 2.632 7.906
Pr 0.000 2.632 13.091
Pr 2.632 0.000 2.721
Pr 2.632 0.000 7.906
Pr 2.632 0.000 13.091
Pr 2.632 2.632 0.000
Pr 2.632 2.632 5.320
Pr 2.632 2.632 10.492
```

Symmetry = P4/mmm
Density of states at the Fermi level = 20.4 states/eV per cell
Density = 6.76 Mg/m³
V = 438.3 Å³/f.u.
Formation energy = 0.189 eV per formula unit
Crystal system = tetragonal


> Among the records above, which one has the lowest V?

RbTm2MnSe4


> Among the records above, which one has the lowest V?

RbTm2MnSe4


> Which of these has the highest V?

AcPm2Pr9


What did the first record say?
DFT (PBE-GGA) results for RbTm2MnSe4 after structural relaxation.

Cell and atoms, written as extended XYZ:
```
16
Lattice="2.060 -7.154 0.000 2.060 7.154 0.000 0.000 0.000 14.370" Properties=species:S:1:pos:R:3 pbc="T T T"
Rb 2.060 5.590 10.777
Rb 2.060 -5.590 3.592
Tm 2.060 1.882 8.071
Tm 2.060 1.882 13.484
Tm 2.060 -1.882 0.886
Tm 2.060 -1.882 6.299
Mn 2.060 4.754 3.592
Mn 2.060 -4.754 10.777
Se 0.000 0.000 0.000
Se 0.000 0.000 7.185
Se 2.060 3.411 1.525
Se 2.060 3.411 5.660
Se 2.060 1.000 10.777
Se 2.060 -1.000 3.592
Se 2.060 -3.411 8.710
Se 2.060 -3.411 12.845
```

Symmetry = Cmcm
ΔE_f (raw) = -1.40 eV/atom
Density of states at the Fermi level = 5.8 states/eV per cell
Density = 6.23 Mg/m³
V = 211.8 Å³/f.u.
Crystal system = orthorhombic